(1)
## Zr2VSiRu (PBE)

Data for a relaxed structure of Zr2VSiRu.

Summary:
As for the calculated total energy: -37.7 eV for the cell shown. The volume comes out at 103.0 Å³/f.u. As for the density of states at the Fermi level: 0.99 states/eV per atom.

abc: 4.8806 4.3223 4.8806
angles: 90.00 90.00 90.00
Element x y z (fractional)
Zr  0.5000  0.0000  0.0000
Zr  0.0000  0.0000  0.5000
Ru  0.0000  0.5000  0.0000
V  0.0000  0.0000  0.0000
Si  0.5000  0.5000  0.5000

(2)
## Cd3Pt4 (PBE)

Data for a relaxed structure of Cd3Pt4.

Summary:
The relative energy among the computed polymorphs comes out at 0.312 eV per atom. The volume comes out at 126.7 Å³/f.u. The formation enthalpy at 0 K comes out at 203.9 meV/atom. As for the density of states at the Fermi level: 0.91 states/eV per atom.

abc: 5.3443 5.3443 5.1238
angles: 90.00 90.00 120.00
Element x y z (fractional)
Cd  0.5000  0.5000  0.0000
Cd  0.0000  0.5000  0.0000
Cd  0.5000  0.0000  0.0000
Pt  0.0000  0.0000  0.2561
Pt  0.6667  0.3333  0.5000
Pt  0.0000  0.0000  0.7439
Pt  0.3333  0.6667  0.5000

(3)
## Tl2SnI6 (PBE)

Data for a relaxed structure of Tl2SnI6.

Summary:
As for the calculated total energy: -44.5 eV for the cell shown. The volume comes out at 384.2 Å³/f.u.

abc: 7.9317 8.5527 11.3286
angles: 90.00 90.78 90.00
Element x y z (fractional)
I  0.8115  0.7104  0.5378
I  0.0860  0.0075  0.7502
I  0.5860  0.4925  0.2502
I  0.8019  0.6855  0.9568
I  0.1885  0.2896  0.4622
I  0.3115  0.7896  0.0378
I  0.4140  0.5075  0.7498
I  0.9140  0.9925  0.2498
I  0.3019  0.8145  0.4568
I  0.6885  0.2104  0.9622
I  0.1981  0.3145  0.0432
I  0.6981  0.1855  0.5432
Tl  0.9717  0.4049  0.7516
Tl  0.4717  0.0951  0.2516
Tl  0.0283  0.5951  0.2484
Tl  0.5283  0.9049  0.7484
Sn  0.5000  0.5000  0.0000
Sn  0.0000  0.0000  0.5000

(4)
## Sc2CdNi9 (PBE)

Data for a relaxed structure of Sc2CdNi9.

Summary:
The volume comes out at 159.9 Å³/f.u. The formation enthalpy at 0 K comes out at -268.6 meV/atom. As for the density of states at the Fermi level: 1.15 states/eV per atom.

abc: 4.8343 4.8343 8.3800
angles: 73.24 73.24 60.00
Element x y z (fractional)
Ni  0.6667  0.6667  0.0000
Ni  0.5000  0.5000  0.5000
Ni  0.5860  0.0814  0.7466
Ni  0.4140  0.9186  0.2534
Ni  0.4140  0.4140  0.2534
Ni  0.5860  0.5860  0.7466
Ni  0.0814  0.5860  0.7466
Ni  0.3333  0.3333  0.0000
Ni  0.9186  0.4140  0.2534
Cd  0.0000  0.0000  0.0000
Sc  0.8625  0.8625  0.4126
Sc  0.1375  0.1375  0.5874

(5)
## La4AlSi (PBE)

Data for a relaxed structure of La4AlSi.

Summary:
The relative energy among the computed polymorphs comes out at 0.000 eV per atom. The volume comes out at 183.7 Å³/f.u. As for the density of states at the Fermi level: 1.31 states/eV per atom.

abc: 10.1296 10.1296 10.1296
angles: 60.00 60.00 60.00
Element x y z (fractional)
La  0.8114  0.1886  0.8114
La  0.5507  0.9493  0.5507
La  0.5507  0.9493  0.9493
La  0.9493  0.5507  0.5507
La  0.5507  0.5507  0.9493
La  0.9493  0.5507  0.9493
La  0.3918  0.3918  0.8245
La  0.1886  0.1886  0.8114
La  0.8114  0.8114  0.1886
La  0.3918  0.8245  0.3918
La  0.1886  0.8114  0.8114
La  0.9493  0.9493  0.5507
La  0.8114  0.1886  0.1886
La  0.1886  0.8114  0.1886
La  0.8245  0.3918  0.3918
La  0.3918  0.3918  0.3918
Al  0.1755  0.4735  0.1755
Al  0.4735  0.1755  0.1755
Al  0.1755  0.1755  0.4735
Al  0.1755  0.1755  0.1755
Si  0.6065  0.6065  0.1805
Si  0.6065  0.1805  0.6065
Si  0.1805  0.6065  0.6065
Si  0.6065  0.6065  0.6065

(6)
## La4TbSmHo2 (PBE)

Data for a relaxed structure of La4TbSmHo2.

Summary:
The volume comes out at 275.3 Å³/f.u. The formation enthalpy at 0 K comes out at 18.9 meV/atom. As for the density of states at the Fermi level: 1.39 states/eV per atom.

abc: 5.2560 5.2221 11.3114
angles: 62.48 90.00 90.00
Element x y z (fractional)
La  0.0000  0.7512  0.7490
La  0.5000  0.7481  0.2514
La  0.5000  0.2519  0.7486
La  0.0000  0.2488  0.2510
Ho  0.0000  0.0000  0.0000
Ho  0.5000  0.0000  0.5000
Sm  0.5000  0.5000  0.0000
Tb  0.0000  0.5000  0.5000

(7)
## Tm4AlZn (PBE)

Data for a relaxed structure of Tm4AlZn.

Summary:
The relative energy among the computed polymorphs comes out at 0.234 eV per atom. The volume comes out at 169.6 Å³/f.u. The formation enthalpy at 0 K comes out at 0.7 meV/atom. As for the density of states at the Fermi level: 1.11 states/eV per atom.

abc: 4.9059 4.9059 7.0486
angles: 89.99 90.00 90.00
Element x y z (fractional)
Tm  0.5013  0.9972  0.2557
Tm  0.0014  0.4974  0.7406
Tm  0.5013  0.9974  0.7406
Tm  0.0012  0.4972  0.2557
Zn  0.0013  0.9972  0.4981
Al  0.5013  0.4973  0.9981

(8)
## CuTc3Ir (PBE)

Data for a relaxed structure of CuTc3Ir.

Summary:
The relative energy among the computed polymorphs comes out at 0.000 eV per atom. The volume comes out at 83.0 Å³/f.u. The formation enthalpy at 0 K comes out at 1687.5 meV/atom. As for the density of states at the Fermi level: 0.93 states/eV per atom.

abc: 4.3612 4.3612 4.3612
angles: 90.00 90.00 90.00
Element x y z (fractional)
Tc  0.0000  0.5000  0.0000
Tc  0.0000  0.0000  0.5000
Tc  0.5000  0.0000  0.0000
Ir  0.5000  0.5000  0.5000
Cu  0.0000  0.0000  0.0000

(9)
## Pa5Mo2N12 (PBE)

Data for a relaxed structure of Pa5Mo2N12.

Summary:
As for the calculated total energy: -193.2 eV for the cell shown. The volume comes out at 261.2 Å³/f.u. As for the density of states at the Fermi level: 0.11 states/eV per atom.

abc: 5.9209 7.4697 6.8584
angles: 105.61 115.57 90.00
Element x y z (fractional)
N  0.4409  0.0864  0.3371
N  0.1038  0.9136  0.6629
N  0.6000  0.4251  0.6904
N  0.9096  0.5749  0.3096
N  0.8962  0.0864  0.3371
N  0.9994  0.1927  0.9988
N  0.5591  0.9136  0.6629
N  0.4000  0.5749  0.3096
N  0.0006  0.8073  0.0012
N  0.5020  0.8036  0.0039
N  0.0904  0.4251  0.6904
N  0.4980  0.1964  0.9961
Mo  0.2283  0.0000  0.0000
Mo  0.7717  0.0000  0.0000
Pa  0.3131  0.1630  0.6262
Pa  0.6875  0.3504  0.3751
Pa  0.0000  0.5000  0.0000
Pa  0.6869  0.8370  0.3738
Pa  0.3125  0.6496  0.6249

(10)
## Li2PuGa3 (PBE)

Data for a relaxed structure of Li2PuGa3.

Summary:
The volume comes out at 104.8 Å³/f.u. The formation enthalpy at 0 K comes out at -293.5 meV/atom. As for the density of states at the Fermi level: 0.93 states/eV per atom.

abc: 3.2486 3.2486 9.9320
angles: 90.00 90.00 90.00
Element x y z (fractional)
Li  0.5000  0.5000  0.1437
Li  0.5000  0.5000  0.8563
Ga  0.0000  0.0000  0.0000
Ga  0.0000  0.0000  0.2873
Ga  0.0000  0.0000  0.7127
Pu  0.5000  0.5000  0.5000

(11)
## Re2SiSbS (PBE)

Data for a relaxed structure of Re2SiSbS.

Summary:
As for the calculated total energy: -30.1 eV for the cell shown. The volume comes out at 102.4 Å³/f.u. As for the density of states at the Fermi level: 1.14 states/eV per atom.

abc: 4.5358 4.9794 4.5358
angles: 90.00 90.00 90.00
Element x y z (fractional)
Sb  0.0000  0.5000  0.0000
Re  0.5000  0.0000  0.0000
Re  0.0000  0.0000  0.5000
S  0.5000  0.5000  0.5000
Si  0.0000  0.0000  0.0000